# 1
VASP calculation (PBE) on an optimized crystal structure of CuTcNi2Pd.

```
CuTcNi2Pd
1.0
4.513 0.000 0.000
0.000 4.549 0.000
0.000 0.000 4.513
Ni Tc Pd Cu
2 1 1 1
direct
0.000 0.000 0.500 Ni
0.500 0.000 0.000 Ni
0.500 0.500 0.500 Tc
0.000 0.000 0.000 Pd
0.000 0.500 0.000 Cu
```

Calculated total energy   -4.71 eV per atom
ΔH_f (0 K)   148 kJ/mol of atoms
Spin magnetization   5.69 μB per cell



# 2
VASP calculation (PBE) on an optimized crystal structure of Ca2CdFe.

```
Ca2CdFe
1.0
-3.112 0.344 -1.660
0.454 -3.174 -1.509
-3.896 -3.667 6.544
Ca Cd Fe
2 1 1
direct
0.500 0.500 0.306 Ca
0.000 0.000 0.933 Ca
0.000 0.000 0.556 Cd
0.500 0.500 0.705 Fe
```

Calculated total energy   -3.13 eV per atom
ΔH_f (0 K)   21 kJ/mol of atoms
Spin magnetization   2.52 μB per cell



# 3
VASP calculation (PBE) on an optimized crystal structure of Pu2NpGa9.

```
Pu2NpGa9
1.0
-0.318 3.339 -2.654
-4.065 -1.043 -0.825
-3.875 7.386 9.757
Ga Pu Np
9 2 1
direct
0.500 0.000 0.500 Ga
0.000 0.500 0.166 Ga
0.000 0.500 0.834 Ga
0.500 0.500 0.334 Ga
0.500 0.500 0.000 Ga
0.500 0.000 0.834 Ga
0.500 0.000 0.166 Ga
0.500 0.500 0.666 Ga
0.000 0.500 0.500 Ga
0.000 0.000 0.667 Pu
0.000 0.000 0.333 Pu
0.000 0.000 0.000 Np
```

Calculated total energy   -6.05 eV per atom
ΔH_f (0 K)   -30 kJ/mol of atoms
Spin magnetization   14.52 μB per cell



# 4
VASP calculation (PBE) on an optimized crystal structure of NpGeN.

```
NpGeN
1.0
-2.000 1.509 2.926
-0.128 -3.499 1.717
4.766 2.123 4.683
N Ge Np
2 2 2
direct
0.315 0.134 0.078 N
0.812 0.634 0.083 N
0.621 0.134 0.470 Ge
0.506 0.634 0.691 Ge
0.231 0.634 0.247 Np
0.896 0.134 0.913 Np
```

Calculated total energy   -9.39 eV per atom
Spin magnetization   5.17 μB per cell
Energy relative to the elements, uncorrected   -761 meV/atom